1.
The following is a PBE-GGA calculation of crystalline GdTlPb2 at its relaxed geometry, from the Open Quantum Materials Database.

Computed properties:
DFT total energy, eV per formula unit: -15.7
Total moment, μB per atom: 0.00
Symmetry: P4/mmm

a b c (Å): 4.809 4.809 4.908
angles (deg): 90.00 90.00 90.00
Atoms (fractional coordinates):
Tl: 0.000 0.000 0.500
Gd: 0.500 0.500 0.500
Pb: 0.000 0.500 0.000
Pb: 0.500 0.000 0.000


2.
The following is a PBE-GGA calculation of crystalline Gd3Tl6Pb at its relaxed geometry, from the Open Quantum Materials Database.

Computed properties:
DFT total energy, eV per formula unit: -34.8
Total moment, μB per atom: 0.00
Symmetry: Cmmm

a b c (Å): 12.666 12.666 4.707
angles (deg): 90.00 90.00 158.63
Atoms (fractional coordinates):
Tl: 0.100 0.900 0.500
Tl: 0.600 0.400 0.000
Tl: 0.400 0.600 0.000
Tl: 0.793 0.207 0.000
Tl: 0.207 0.793 0.000
Tl: 0.900 0.100 0.500
Pb: 0.000 0.000 0.000
Gd: 0.500 0.500 0.500
Gd: 0.692 0.308 0.500
Gd: 0.308 0.692 0.500


3.
The following is a PBE-GGA calculation of crystalline GdTlPb at its relaxed geometry, from the Open Quantum Materials Database.

Computed properties:
DFT total energy, eV per formula unit: -10.8
Total moment, μB per atom: 0.00
Symmetry: F-43m

a b c (Å): 5.164 5.164 5.164
angles (deg): 60.00 60.00 60.00
Atoms (fractional coordinates):
Gd: 0.250 0.250 0.250
Pb: 0.750 0.750 0.750
Tl: 0.000 0.000 0.000


4.
The following is a PBE-GGA calculation of crystalline GdTlPb at its relaxed geometry, from the Open Quantum Materials Database.

Computed properties:
DFT total energy, eV per formula unit: -11.1
Total moment, μB per atom: 0.00
Symmetry: F-43m

a b c (Å): 5.177 5.177 5.177
angles (deg): 60.00 60.00 60.00
Atoms (fractional coordinates):
Gd: 0.000 0.000 0.000
Pb: 0.250 0.250 0.250
Tl: 0.750 0.750 0.750


- Which value of total moment does entry 2 give?
  0.00 μB per atom


- What is the DFT total energy in the fourth record?
  -11.1 eV per formula unit


- The lowest DFT total energy belongs to which entry?
  Gd3Tl6Pb


Repeat the fourth record exactly.
The following is a PBE-GGA calculation of crystalline GdTlPb at its relaxed geometry, from the Open Quantum Materials Database.

Computed properties:
DFT total energy, eV per formula unit: -11.1
Total moment, μB per atom: 0.00
Symmetry: F-43m

a b c (Å): 5.177 5.177 5.177
angles (deg): 60.00 60.00 60.00
Atoms (fractional coordinates):
Gd: 0.000 0.000 0.000
Pb: 0.250 0.250 0.250
Tl: 0.750 0.750 0.750